Entry 1:
Compound: NaThTe2
Source: the Alexandria database
Functional: GGA-PBE
Structure: relaxed

## Properties
Energy ... -4.84 eV per atom
Symmetry ... C2/c (15)
D(E_F) ... 2.45 states/eV/f.u.

Lattice parameters (Å, degrees): 7.6930 8.0416 9.9776 106.16 104.79 108.86
Atoms (fractional coordinates):
Te (0.0552, 0.3039, 0.1223)
Te (0.4329, 0.1816, 0.8777)
Te (0.8103, 0.0631, 0.6236)
Te (0.3133, 0.5606, 0.6236)
Te (0.1897, 0.9369, 0.3764)
Te (0.5671, 0.8184, 0.1223)
Te (0.6867, 0.4394, 0.3764)
Te (0.9448, 0.6961, 0.8777)
Na (0.5649, 0.3149, 0.6298)
Na (0.4351, 0.6851, 0.3702)
Na (0.8118, 0.5618, 0.1236)
Na (0.1882, 0.4382, 0.8764)
Th (0.3170, 0.0670, 0.1341)
Th (0.9396, 0.1896, 0.3793)
Th (0.0604, 0.8104, 0.6207)
Th (0.6830, 0.9330, 0.8659)

Entry 2:
Compound: NaTh3Te6
Source: the Alexandria database
Functional: GGA-PBE
Structure: relaxed

## Properties
Energy ... -5.33 eV per atom
Symmetry ... P2_1/m (11)
D(E_F) ... 5.29 states/eV/f.u.

Lattice parameters (Å, degrees): 4.4809 12.9899 13.3092 107.91 90.00 90.00
Atoms (fractional coordinates):
Te (0.2500, 0.6296, 0.9717)
Te (0.2500, 0.0866, 0.9057)
Te (0.7500, 0.1399, 0.4827)
Te (0.7500, 0.7923, 0.7460)
Te (0.7500, 0.7015, 0.2549)
Te (0.2500, 0.5070, 0.3887)
Te (0.7500, 0.9134, 0.0943)
Te (0.2500, 0.2985, 0.7451)
Te (0.2500, 0.2077, 0.2540)
Te (0.7500, 0.4930, 0.6113)
Te (0.2500, 0.8601, 0.5173)
Te (0.7500, 0.3704, 0.0283)
Na (0.7500, 0.0275, 0.6766)
Na (0.2500, 0.9725, 0.3234)
Th (0.7500, 0.1505, 0.0837)
Th (0.7500, 0.4682, 0.8378)
Th (0.2500, 0.3128, 0.5069)
Th (0.2500, 0.5318, 0.1622)
Th (0.2500, 0.8495, 0.9163)
Th (0.7500, 0.6872, 0.4931)

Entry 3:
Compound: Na2Th2Te5
Source: the Alexandria database
Functional: GGA-PBE
Structure: relaxed

## Properties
Energy ... -4.82 eV per atom
Symmetry ... Cmce (64)
D(E_F) ... 0.66 states/eV/f.u.

Lattice parameters (Å, degrees): 8.7055 8.6414 9.0404 118.55 90.00 90.00
Atoms (fractional coordinates):
Th (0.8413, 0.3426, 0.0000)
Th (0.3413, 0.1574, 0.0000)
Th (0.1587, 0.6574, 0.0000)
Th (0.6587, 0.8426, 0.0000)
Te (0.8545, 0.7753, 0.2569)
Te (0.6455, 0.0184, 0.7431)
Te (0.3545, 0.7247, 0.7431)
Te (0.1455, 0.4816, 0.2569)
Te (0.5000, 0.5000, 0.0000)
Te (0.6455, 0.2753, 0.2569)
Te (0.1455, 0.2247, 0.7431)
Te (0.0000, 0.0000, 0.0000)
Te (0.3545, 0.9816, 0.2569)
Te (0.8545, 0.5184, 0.7431)
Na (0.0000, 0.2002, 0.4004)
Na (0.5000, 0.7002, 0.4004)
Na (0.5000, 0.2998, 0.5996)
Na (0.0000, 0.7998, 0.5996)

Entry 4:
Compound: NaTh2Te3
Source: the Alexandria database
Functional: GGA-PBE
Structure: relaxed

## Properties
Energy ... -5.33 eV per atom
Symmetry ... I4/mmm (139)
D(E_F) ... 2.48 states/eV/f.u.

Lattice parameters (Å, degrees): 4.4639 4.4639 9.9805 102.92 102.92 90.00
Atoms (fractional coordinates):
Te (0.5000, 0.5000, 0.0000)
Te (0.1616, 0.1616, 0.3232)
Te (0.8384, 0.8384, 0.6768)
Na (0.0000, 0.0000, 0.0000)
Th (0.3313, 0.3313, 0.6626)
Th (0.6687, 0.6687, 0.3374)

Entry 5:
Compound: Na5ThTe6
Source: the Alexandria database
Functional: GGA-PBE
Structure: relaxed

## Properties
Energy ... -3.55 eV per atom
Symmetry ... C2/m (12)
D(E_F) ... 2.97 states/eV/f.u.

Lattice parameters (Å, degrees): 7.4604 7.4626 8.7828 64.86 77.06 58.20
Atoms (fractional coordinates):
Na (0.5000, 0.5000, 0.0000)
Na (0.5000, 0.8308, 0.3383)
Na (0.0000, 0.3320, 0.3359)
Na (0.0000, 0.6680, 0.6641)
Na (0.5000, 0.1692, 0.6617)
Te (0.2471, 0.2447, 0.0000)
Te (0.7488, 0.4123, 0.6793)
Te (0.2512, 0.5877, 0.3207)
Te (0.7529, 0.7553, 0.0000)
Te (0.7488, 0.0917, 0.3207)
Te (0.2512, 0.9083, 0.6793)
Th (0.0000, 0.0000, 0.0000)

Entry 6:
Compound: Na5ThTe4
Source: the Alexandria database
Functional: GGA-PBE
Structure: relaxed

## Properties
Energy ... -3.56 eV per atom
Symmetry ... C2/m (12)
D(E_F) ... 4.47 states/eV/f.u.

Lattice parameters (Å, degrees): 4.7553 8.5104 9.8686 115.44 103.94 90.00
Site moments in Bohr magnetons follow the coordinates.
Atoms (fractional coordinates):
Na (0.8236, 0.0561, 0.6472)  0.00
Na (0.8241, 0.5902, 0.6482)  0.00
Na (0.1759, 0.4098, 0.3518)  0.00
Na (0.1764, 0.9439, 0.3528)  0.00
Na (0.5000, 0.5000, 0.0000)  0.00
Te (0.6916, 0.1921, 0.3833)  0.00
Te (0.3084, 0.8079, 0.6167)  0.00
Te (0.0003, 0.7460, 0.0007)  0.00
Te (0.9997, 0.2540, 0.9993)  0.00
Th (0.5000, 0.0000, 0.0000)  0.32